Entry 1:
A plane-wave DFT calculation with PBE was carried out for SmTmIr2 after structural relaxation.

a b c (Å): 3.352 3.352 7.242
angles (deg): 90.00 90.00 90.00
Element x y z (fractional)
1 Sm 0.500 0.500 0.500
2 Tm 0.500 0.500 0.000
3 Ir 0.000 0.000 0.237
4 Ir 0.000 0.000 0.763

Properties
- Relative energy among the computed polymorphs: 0.4 meV per atom
- Symmetry: P4/mmm
- Magnetization: 0.00 Bohr magnetons per cell
- Total energy: -29.96 eV for the cell shown
- Formation energy: -3.051 eV/f.u.
- Density of states at the Fermi level: 1.318 states/eV/cell

=====

Entry 2:
A plane-wave DFT calculation with PBE was carried out for KLa2Rh after structural relaxation.

a b c (Å): 11.136 11.136 11.136
angles (deg): 160.18 159.78 28.46
Element x y z (fractional)
1 La 0.356 0.856 0.500
2 La 0.006 0.006 0.000
3 Rh 0.449 0.449 0.000
4 K 0.688 0.188 0.500

Properties
- Relative energy among the computed polymorphs: 209.5 meV per atom
- Symmetry: Imm2
- Magnetization: 0.00 Bohr magnetons per cell
- Total energy: -18.98 eV for the cell shown
- Formation energy: -0.673 eV/f.u.
- Density of states at the Fermi level: 5.175 states/eV/cell